1.
This record from OQMD describes Nb4AsPbC2 after structural relaxation. The functional is GGA-PBE.

Cell: 3.317 3.317 13.176 Å, 90.00 90.00 120.00°
Fractional coordinates of all 8 atoms:
Nb1 0.000 0.000 0.142
Nb2 0.000 0.000 0.858
Nb3 0.333 0.667 0.315
Nb4 0.333 0.667 0.685
As1 0.333 0.667 0.000
Pb1 0.000 0.000 0.500
C1 0.667 0.333 0.232
C2 0.667 0.333 0.768

***

2.
This record from OQMD describes NbAsPdC after structural relaxation. The functional is GGA-PBE.

Cell: 3.313 3.313 12.140 Å, 90.00 90.00 120.00°
Fractional coordinates of all 8 atoms:
Nb1 0.333 0.667 0.097
Nb2 0.667 0.333 0.903
As1 0.333 0.667 0.749
As2 0.667 0.333 0.251
Pd1 0.333 0.667 0.408
Pd2 0.667 0.333 0.592
C1 0.000 0.000 0.000
C2 0.000 0.000 0.500

***

3.
This record from OQMD describes Sc2Nb4As3C3 after structural relaxation. The functional is GGA-PBE.

Cell: 5.780 5.780 12.767 Å, 103.09 103.09 60.06°
Fractional coordinates of all 24 atoms:
Sc1 0.034 0.872 0.601
Sc2 0.128 0.966 0.899
Sc3 0.872 0.034 0.101
Sc4 0.966 0.128 0.399
Nb1 0.197 0.361 0.094
Nb2 0.297 0.475 0.407
Nb3 0.361 0.197 0.594
Nb4 0.475 0.297 0.907
Nb5 0.525 0.703 0.093
Nb6 0.639 0.803 0.406
Nb7 0.703 0.525 0.593
Nb8 0.803 0.639 0.906
As1 0.085 0.252 0.751
As2 0.252 0.085 0.251
As3 0.421 0.579 0.750
As4 0.579 0.421 0.250
As5 0.748 0.915 0.749
As6 0.915 0.748 0.249
C1 0.000 0.500 0.500
C2 0.170 0.661 0.000
C3 0.339 0.830 0.500
C4 0.500 0.000 0.000
C5 0.661 0.170 0.500
C6 0.830 0.339 0.000

***

4.
This record from OQMD describes Nb4SiAsC2 after structural relaxation. The functional is GGA-PBE.

Cell: 3.300 3.300 12.158 Å, 90.00 90.00 120.00°
Fractional coordinates of all 8 atoms:
Nb1 0.000 0.000 0.153
Nb2 0.000 0.000 0.847
Nb3 0.333 0.667 0.345
Nb4 0.333 0.667 0.655
Si1 0.333 0.667 0.000
As1 0.000 0.000 0.500
C1 0.667 0.333 0.249
C2 0.667 0.333 0.751

***

5.
This record from OQMD describes Ta2Nb4As3C3 after structural relaxation. The functional is GGA-PBE.

Cell: 5.777 5.777 12.488 Å, 103.38 103.38 59.99°
Fractional coordinates of all 24 atoms:
Ta1 0.031 0.862 0.594
Ta2 0.138 0.969 0.906
Ta3 0.862 0.031 0.094
Ta4 0.969 0.138 0.406
Nb1 0.198 0.369 0.095
Nb2 0.305 0.465 0.405
Nb3 0.369 0.198 0.595
Nb4 0.465 0.305 0.905
Nb5 0.535 0.695 0.095
Nb6 0.631 0.802 0.405
Nb7 0.695 0.535 0.595
Nb8 0.802 0.631 0.905
As1 0.083 0.249 0.749
As2 0.249 0.083 0.249
As3 0.416 0.584 0.750
As4 0.584 0.416 0.250
As5 0.751 0.917 0.751
As6 0.917 0.751 0.251
C1 0.000 0.500 0.500
C2 0.163 0.675 0.000
C3 0.325 0.837 0.500
C4 0.500 0.000 0.000
C5 0.675 0.163 0.500
C6 0.837 0.325 0.000

***

6.
This record from OQMD describes Ta4Nb2As3C3 after structural relaxation. The functional is GGA-PBE.

Cell: 5.776 5.776 12.446 Å, 103.46 103.46 59.94°
Fractional coordinates of all 24 atoms:
Ta1 0.028 0.201 0.094
Ta2 0.139 0.302 0.406
Ta3 0.201 0.028 0.594
Ta4 0.302 0.139 0.906
Ta5 0.698 0.861 0.094
Ta6 0.799 0.972 0.406
Ta7 0.861 0.698 0.594
Ta8 0.972 0.799 0.906
Nb1 0.369 0.532 0.095
Nb2 0.468 0.631 0.405
Nb3 0.532 0.369 0.595
Nb4 0.631 0.468 0.905
As1 0.082 0.918 0.250
As2 0.250 0.416 0.749
As3 0.416 0.250 0.249
As4 0.584 0.750 0.751
As5 0.750 0.584 0.251
As6 0.918 0.082 0.750
C1 0.000 0.500 0.000
C2 0.158 0.671 0.500
C3 0.329 0.842 0.000
C4 0.500 0.000 0.500
C5 0.671 0.158 0.000
C6 0.842 0.329 0.500

***

7.
This record from OQMD describes TbNbAsC after structural relaxation. The functional is GGA-PBE.

Cell: 3.509 3.509 12.989 Å, 90.00 90.00 120.00°
Fractional coordinates of all 8 atoms:
Tb1 0.333 0.667 0.393
Tb2 0.667 0.333 0.607
Nb1 0.333 0.667 0.086
Nb2 0.667 0.333 0.914
As1 0.333 0.667 0.778
As2 0.667 0.333 0.222
C1 0.000 0.000 0.000
C2 0.000 0.000 0.500

***

8.
This record from OQMD describes NbTcAsC after structural relaxation. The functional is GGA-PBE.

Cell: 3.300 3.300 11.825 Å, 90.00 90.00 120.00°
Fractional coordinates of all 8 atoms:
Nb1 0.333 0.667 0.097
Nb2 0.667 0.333 0.903
Tc1 0.333 0.667 0.418
Tc2 0.667 0.333 0.582
As1 0.333 0.667 0.738
As2 0.667 0.333 0.262
C1 0.000 0.000 0.000
C2 0.000 0.000 0.500

***

9.
This record from OQMD describes Y4Nb2As3C3 after structural relaxation. The functional is GGA-PBE.

Cell: 6.128 6.128 13.701 Å, 103.59 103.59 60.49°
Fractional coordinates of all 24 atoms:
Y1 0.044 0.197 0.106
Y2 0.121 0.297 0.393
Y3 0.197 0.044 0.606
Y4 0.297 0.121 0.893
Y5 0.703 0.879 0.107
Y6 0.803 0.956 0.394
Y7 0.879 0.703 0.607
Y8 0.956 0.803 0.894
Nb1 0.357 0.529 0.083
Nb2 0.471 0.643 0.417
Nb3 0.529 0.357 0.583
Nb4 0.643 0.471 0.917
As1 0.128 0.872 0.250
As2 0.294 0.416 0.754
As3 0.416 0.294 0.254
As4 0.584 0.706 0.746
As5 0.706 0.584 0.246
As6 0.872 0.128 0.750
C1 0.000 0.500 0.000
C2 0.207 0.647 0.500
C3 0.353 0.793 0.000
C4 0.500 0.000 0.500
C5 0.647 0.207 0.000
C6 0.793 0.353 0.500

***

10.
This record from OQMD describes Zr4Nb2As3C3 after structural relaxation. The functional is GGA-PBE.

Cell: 5.922 5.922 12.951 Å, 103.20 103.20 60.05°
Fractional coordinates of all 24 atoms:
Zr1 0.036 0.198 0.101
Zr2 0.131 0.300 0.399
Zr3 0.198 0.036 0.601
Zr4 0.300 0.131 0.899
Zr5 0.700 0.869 0.101
Zr6 0.802 0.964 0.399
Zr7 0.869 0.700 0.601
Zr8 0.964 0.802 0.899
Nb1 0.361 0.531 0.092
Nb2 0.469 0.639 0.408
Nb3 0.531 0.361 0.592
Nb4 0.639 0.469 0.908
As1 0.097 0.903 0.250
As2 0.264 0.417 0.750
As3 0.417 0.264 0.250
As4 0.583 0.736 0.750
As5 0.736 0.583 0.250
As6 0.903 0.097 0.750
C1 0.000 0.500 0.000
C2 0.173 0.664 0.500
C3 0.336 0.827 0.000
C4 0.500 0.000 0.500
C5 0.664 0.173 0.000
C6 0.827 0.336 0.500

***

11.
This record from OQMD describes Zr2Nb4As3C3 after structural relaxation. The functional is GGA-PBE.

Cell: 5.853 5.853 12.705 Å, 103.31 103.31 60.04°
Fractional coordinates of all 24 atoms:
Zr1 0.034 0.869 0.602
Zr2 0.131 0.966 0.898
Zr3 0.869 0.034 0.102
Zr4 0.966 0.131 0.398
Nb1 0.197 0.363 0.093
Nb2 0.300 0.471 0.407
Nb3 0.363 0.197 0.593
Nb4 0.471 0.300 0.907
Nb5 0.529 0.700 0.093
Nb6 0.637 0.803 0.407
Nb7 0.700 0.529 0.593
Nb8 0.803 0.637 0.907
As1 0.084 0.262 0.750
As2 0.262 0.084 0.250
As3 0.430 0.570 0.750
As4 0.570 0.430 0.250
As5 0.738 0.916 0.750
As6 0.916 0.738 0.250
C1 0.000 0.500 0.500
C2 0.169 0.663 0.000
C3 0.337 0.831 0.500
C4 0.500 0.000 0.000
C5 0.663 0.169 0.500
C6 0.831 0.337 0.000

***

12.
This record from OQMD describes Nd3Sn2As7C12 after structural relaxation. The functional is GGA-PBE.

Cell: 12.185 12.185 12.185 Å, 107.45 107.45 113.60°
Fractional coordinates of all 96 atoms:
Nd1 0.112 0.250 0.362
Nd2 0.125 0.375 0.750
Nd3 0.250 0.388 0.138
Nd4 0.250 0.888 0.638
Nd5 0.375 0.125 0.250
Nd6 0.388 0.750 0.138
Nd7 0.612 0.250 0.862
Nd8 0.625 0.875 0.750
Nd9 0.750 0.112 0.362
Nd10 0.750 0.612 0.862
Nd11 0.875 0.625 0.250
Nd12 0.888 0.750 0.638
Sn1 0.000 0.000 0.000
Sn2 0.000 0.000 0.500
Sn3 0.000 0.500 0.000
Sn4 0.000 0.500 0.500
Sn5 0.500 0.000 0.000
Sn6 0.500 0.000 0.500
Sn7 0.500 0.500 0.000
Sn8 0.500 0.500 0.500
As1 0.062 0.438 0.250
As2 0.097 0.104 0.825
As3 0.104 0.779 0.007
As4 0.125 0.875 0.250
As5 0.188 0.938 0.875
As6 0.221 0.729 0.325
As7 0.229 0.721 0.825
As8 0.271 0.097 0.493
As9 0.279 0.604 0.507
As10 0.312 0.188 0.750
As11 0.375 0.625 0.750
As12 0.396 0.403 0.675
As13 0.403 0.229 0.007
As14 0.438 0.688 0.375
As15 0.562 0.312 0.625
As16 0.597 0.771 0.993
As17 0.604 0.597 0.325
As18 0.625 0.375 0.250
As19 0.688 0.812 0.250
As20 0.721 0.396 0.493
As21 0.729 0.903 0.507
As22 0.771 0.279 0.175
As23 0.779 0.271 0.675
As24 0.812 0.062 0.125
As25 0.875 0.125 0.750
As26 0.896 0.221 0.993
As27 0.903 0.896 0.175
As28 0.938 0.562 0.750
C1 0.011 0.194 0.120
C2 0.015 0.302 0.911
C3 0.074 0.694 0.683
C4 0.099 0.610 0.902
C5 0.104 0.015 0.213
C6 0.109 0.989 0.683
C7 0.110 0.599 0.402
C8 0.110 0.896 0.411
C9 0.194 0.574 0.183
C10 0.198 0.099 0.990
C11 0.198 0.485 0.589
C12 0.208 0.198 0.598
C13 0.292 0.890 0.990
C14 0.302 0.292 0.902
C15 0.302 0.890 0.287
C16 0.306 0.489 0.380
C17 0.390 0.792 0.490
C18 0.390 0.802 0.787
C19 0.391 0.074 0.880
C20 0.396 0.610 0.911
C21 0.401 0.302 0.510
C22 0.426 0.109 0.620
C23 0.485 0.396 0.287
C24 0.489 0.609 0.183
C25 0.511 0.391 0.817
C26 0.515 0.604 0.713
C27 0.574 0.891 0.380
C28 0.599 0.698 0.490
C29 0.604 0.390 0.089
C30 0.609 0.926 0.120
C31 0.610 0.198 0.213
C32 0.610 0.208 0.510
C33 0.694 0.511 0.620
C34 0.698 0.110 0.713
C35 0.698 0.708 0.098
C36 0.708 0.110 0.010
C37 0.792 0.802 0.402
C38 0.802 0.515 0.411
C39 0.802 0.901 0.010
C40 0.806 0.426 0.817
C41 0.890 0.104 0.589
C42 0.890 0.401 0.598
C43 0.891 0.011 0.317
C44 0.896 0.985 0.787
C45 0.901 0.390 0.098
C46 0.926 0.306 0.317
C47 0.985 0.698 0.089
C48 0.989 0.806 0.880

***

Record order is preserved below.
Raw total energy: -8.844; -7.246; -8.619; -9.187; -9.422; -9.702; -7.766; -8.768; -8.004; -8.870; -9.019; -5.779 eV/atom